# 1
## Pr4Nd15Th (GGA-PBE)

Data for a relaxed structure of Pr4Nd15Th.

Cell: 5.216 5.216 26.042 Å, 90.00 90.00 90.00°
Fractional coordinates of all 20 atoms:
Nd 0.500 0.500 0.000
Nd 0.000 0.500 0.903
Nd 0.500 0.000 0.903
Nd 0.500 0.500 0.800
Nd 0.000 0.500 0.701
Nd 0.500 0.000 0.500
Nd 0.000 0.500 0.500
Nd 0.500 0.500 0.200
Nd 0.500 0.000 0.299
Nd 0.500 0.500 0.600
Nd 0.000 0.500 0.299
Nd 0.500 0.000 0.701
Nd 0.500 0.000 0.097
Nd 0.000 0.500 0.097
Nd 0.500 0.500 0.400
Pr 0.000 0.000 0.199
Pr 0.000 0.000 0.801
Pr 0.000 0.000 0.600
Pr 0.000 0.000 0.400
Th 0.000 0.000 0.000

For the formation energy, the calculation gives 0.02 eV per atom. As for the space group: P4/mmm, No. 123.

=====

# 2
## K3Cd4 (GGA-PBE)

Data for a relaxed structure of K3Cd4.

Cell: 7.760 7.760 5.591 Å, 90.00 90.00 120.00°
Fractional coordinates of all 7 atoms:
Cd 0.333 0.667 0.500
Cd 0.000 0.000 0.749
Cd 0.667 0.333 0.500
Cd 0.000 0.000 0.251
K 0.000 0.500 0.000
K 0.500 0.000 0.000
K 0.500 0.500 0.000

For the formation energy, the calculation gives 0.14 eV per atom. As for the space group: P6/mmm, No. 191. The calculation puts the distance to the lowest polymorph of the same formula at 222 meV per atom.

=====

# 3
## KU2CuSe4 (GGA-PBE)

Data for a relaxed structure of KU2CuSe4.

Cell: 4.101 7.407 14.411 Å, 90.00 90.00 106.07°
Each line ends with the local moment (μB).
Fractional coordinates of all 16 atoms:
Se 0.000 0.000 0.000  -0.07
Se 0.732 0.465 0.614  -0.05
Se 0.268 0.535 0.386  -0.05
Se 0.732 0.465 0.886  -0.05
Se 0.000 0.000 0.500  -0.07
Se 0.568 0.136 0.250  -0.04
Se 0.432 0.864 0.750  -0.04
Se 0.268 0.535 0.114  -0.05
U 0.366 0.732 0.939  2.70
U 0.366 0.732 0.561  2.70
U 0.634 0.268 0.439  2.70
U 0.634 0.268 0.061  2.70
Cu 0.838 0.676 0.750  -0.01
Cu 0.162 0.324 0.250  -0.01
K 0.108 0.217 0.750  0.00
K 0.892 0.783 0.250  0.00

As for the formation energy from raw total energies: -1.02 eV/atom. As for the space group: Cmcm, No. 63.

=====

# 4
## MnInAgBr4 (GGA-PBE)

Data for a relaxed structure of MnInAgBr4.

Cell: 6.668 7.795 8.881 Å, 90.00 102.38 90.00°
Each line ends with the local moment (μB).
Fractional coordinates of all 14 atoms:
Br 0.489 0.750 0.569  0.05
Br 0.972 0.509 0.280  0.05
Br 0.028 0.491 0.720  0.05
Br 0.972 0.991 0.280  0.05
Br 0.365 0.750 0.078  0.06
Br 0.511 0.250 0.431  0.05
Br 0.635 0.250 0.922  0.06
Br 0.028 0.009 0.720  0.05
Mn 0.762 0.250 0.680  4.31
Mn 0.238 0.750 0.320  4.31
Ag 0.854 0.750 0.486  0.02
Ag 0.146 0.250 0.514  0.02
In 0.780 0.750 0.965  0.01
In 0.220 0.250 0.035  0.01

As for the formation energy from raw total energies: -0.59 eV/atom. As for the space group: P2_1/m, No. 11.

=====

# 5
## Cd12Ag3Au (GGA-PBE)

Data for a relaxed structure of Cd12Ag3Au.

Cell: 4.294 4.294 17.952 Å, 90.00 90.00 90.00°
Fractional coordinates of all 16 atoms:
Cd 0.500 0.000 0.124
Cd 0.500 0.500 0.750
Cd 0.500 0.000 0.625
Cd 0.000 0.500 0.124
Cd 0.000 0.500 0.625
Cd 0.500 0.500 0.000
Cd 0.000 0.500 0.876
Cd 0.500 0.500 0.500
Cd 0.000 0.500 0.375
Cd 0.500 0.000 0.375
Cd 0.500 0.000 0.876
Cd 0.500 0.500 0.250
Au 0.000 0.000 0.000
Ag 0.000 0.000 0.500
Ag 0.000 0.000 0.750
Ag 0.000 0.000 0.250

For the formation energy, the calculation gives -0.02 eV per atom. As for the space group: P4/mmm, No. 123.

=====

# 6
## SiRu (GGA-PBE)

Data for a relaxed structure of SiRu.

Cell: 3.080 3.079 11.848 Å, 90.00 90.00 90.00°
Fractional coordinates of all 8 atoms:
Ru 0.000 0.000 0.864
Ru 0.500 0.000 0.114
Ru 0.000 0.500 0.614
Ru 0.500 0.500 0.364
Si 0.000 0.000 0.455
Si 0.000 0.500 0.205
Si 0.500 0.500 0.955
Si 0.500 0.000 0.705

As for the formation energy from raw total energies: -0.53 eV/atom. As for the space group: I4_1md, No. 109.

=====

# 7
## TlReSb2 (GGA-PBE)

Data for a relaxed structure of TlReSb2.

Cell: 10.389 10.389 10.389 Å, 18.67 18.67 18.67°
Fractional coordinates of all 4 atoms:
Tl 0.250 0.250 0.250
Re 0.750 0.750 0.750
Sb 0.480 0.480 0.480
Sb 0.020 0.020 0.020

As for the formation energy from raw total energies: 0.26 eV/atom. As for the space group: R-3m, No. 166. The calculation puts the distance to the lowest polymorph of the same formula at 36 meV per atom.

=====

# 8
## AgAu2C (GGA-PBE)

Data for a relaxed structure of AgAu2C.

Cell: 5.504 5.504 6.741 Å, 65.90 65.90 90.00°
Fractional coordinates of all 8 atoms:
C 0.250 0.750 0.500
C 0.500 0.500 0.000
Au 0.255 0.625 0.250
Au 0.495 0.125 0.250
Au 0.375 0.505 0.750
Au 0.875 0.745 0.750
Ag 0.750 0.250 0.500
Ag 0.000 0.000 0.000

For the formation energy, the calculation gives 1.02 eV per atom. As for the space group: I-42d, No. 122.

=====

# 9
## PrLuHg4 (GGA-PBE)

Data for a relaxed structure of PrLuHg4.

Cell: 5.989 5.989 5.989 Å, 60.00 60.00 60.00°
Fractional coordinates of all 6 atoms:
Hg 0.625 0.625 0.625
Hg 0.625 0.125 0.625
Hg 0.125 0.625 0.625
Hg 0.625 0.625 0.125
Pr 0.250 0.250 0.250
Lu 0.000 0.000 0.000

For the formation energy, the calculation gives -0.20 eV per atom. As for the space group: F-43m, No. 216.

=====

# 10
## RbNaY2Sb (GGA-PBE)

Data for a relaxed structure of RbNaY2Sb.

Cell: 5.779 5.558 5.779 Å, 90.00 90.00 90.00°
Fractional coordinates of all 5 atoms:
Sb 0.500 0.500 0.500
Na 0.000 0.000 0.000
Y 0.500 0.000 0.000
Y 0.000 0.000 0.500
Rb 0.000 0.500 0.000

As for the formation energy from raw total energies: 0.72 eV/atom. As for the space group: P4/mmm, No. 123.

=====

# 11
## Ca2VCdNi (GGA-PBE)

Data for a relaxed structure of Ca2VCdNi.

Cell: 5.429 4.548 5.429 Å, 90.00 90.00 90.00°
Each line ends with the local moment (μB).
Fractional coordinates of all 5 atoms:
Cd 0.500 0.500 0.500  0.00
Ni 0.000 0.000 0.000  -0.08
Ca 0.000 0.000 0.500  0.01
Ca 0.500 0.000 0.000  0.04
V 0.000 0.500 0.000  2.40

For the formation energy, the calculation gives 0.26 eV per atom. As for the space group: P4/mmm, No. 123.

=====

# 12
## KYMnBr6 (GGA-PBE)

Data for a relaxed structure of KYMnBr6.

Cell: 6.891 6.891 14.891 Å, 90.00 90.00 120.00°
Each line ends with the local moment (μB).
Fractional coordinates of all 18 atoms:
Mn 0.333 0.667 0.750  0.88
Mn 0.667 0.333 0.250  0.88
Br 0.350 0.969 0.648  -0.01
Br 0.969 0.619 0.352  -0.01
Br 0.619 0.969 0.852  -0.01
Br 0.031 0.650 0.852  -0.01
Br 0.381 0.031 0.148  -0.01
Br 0.350 0.381 0.852  -0.01
Br 0.969 0.350 0.148  -0.01
Br 0.381 0.350 0.352  -0.01
Br 0.031 0.381 0.648  -0.01
Br 0.650 0.031 0.352  -0.01
Br 0.619 0.650 0.648  -0.01
Br 0.650 0.619 0.148  -0.01
K 0.000 0.000 0.500  0.00
K 0.000 0.000 0.000  0.00
Y 0.667 0.333 0.750  -0.01
Y 0.333 0.667 0.250  -0.01

As for the formation energy from raw total energies: -1.23 eV/atom. As for the space group: P-31c, No. 163.

=====

no.,VASP energy (Ha/atom)
1,-0.1793
2,-0.0314
3,-0.2290
4,-0.1344
5,-0.0533
6,-0.2896
7,-0.2025
8,-0.1336
9,-0.0715
10,-0.1156
11,-0.1362
12,-0.1544